[1]
Here is an optimized crystal structure of ScGa4Cu2Ni from Alexandria. Energies are from GGA-PBE.

Lattice parameters (Å, degrees): 8.630 8.630 8.630 27.56 27.56 27.56
Sites, in units of the cell vectors:
Sc 0.000 0.000 0.000
Ga 0.130 0.130 0.130
Ga 0.396 0.396 0.396
Ga 0.604 0.604 0.604
Ga 0.870 0.870 0.870
Cu 0.242 0.242 0.242
Cu 0.758 0.758 0.758
Ni 0.500 0.500 0.500

Calculated values
- Formation energy: -288 meV/atom
- Crystal system: trigonal

---

[2]
Here is an optimized crystal structure of Ga2CuSi2Ni5 from Alexandria. Energies are from GGA-PBE.

Lattice parameters (Å, degrees): 9.212 9.212 2.970 90.00 90.00 90.00
Sites, in units of the cell vectors:
Ga 0.168 0.332 0.000
Ga 0.332 0.832 0.000
Ga 0.668 0.168 0.000
Ga 0.832 0.668 0.000
Cu 0.000 0.000 0.000
Cu 0.500 0.500 0.000
Si 0.142 0.642 0.000
Si 0.358 0.142 0.000
Si 0.642 0.858 0.000
Si 0.858 0.358 0.000
Ni 0.000 0.500 0.500
Ni 0.015 0.786 0.500
Ni 0.214 0.015 0.500
Ni 0.286 0.515 0.500
Ni 0.485 0.286 0.500
Ni 0.500 0.000 0.500
Ni 0.515 0.714 0.500
Ni 0.714 0.485 0.500
Ni 0.786 0.985 0.500
Ni 0.985 0.214 0.500

Calculated values
- Crystal system: tetragonal

---

[3]
Here is an optimized crystal structure of SmGaCuNi2 from Alexandria. Energies are from GGA-PBE.

Lattice parameters (Å, degrees): 3.782 3.960 10.851 90.00 90.00 90.00
Sites, in units of the cell vectors:
Sm 0.000 0.000 0.000
Sm 0.500 0.500 0.500
Ga 0.000 0.500 0.757
Ga 0.500 0.000 0.257
Cu 0.000 0.000 0.619
Cu 0.500 0.500 0.119
Ni 0.000 0.000 0.396
Ni 0.000 0.500 0.266
Ni 0.500 0.000 0.766
Ni 0.500 0.500 0.896

Calculated values
- Formation energy: -330 meV/atom
- Crystal system: orthorhombic

---

[4]
Here is an optimized crystal structure of SmGa4Cu2Ni from Alexandria. Energies are from GGA-PBE.

Lattice parameters (Å, degrees): 9.076 9.076 9.076 26.48 26.48 26.48
Sites, in units of the cell vectors:
Sm 0.000 0.000 0.000
Ga 0.132 0.132 0.132
Ga 0.403 0.403 0.403
Ga 0.597 0.597 0.597
Ga 0.868 0.868 0.868
Cu 0.237 0.237 0.237
Cu 0.763 0.763 0.763
Ni 0.500 0.500 0.500

Calculated values
- Formation energy: -347 meV/atom
- Crystal system: trigonal

---

[5]
Here is an optimized crystal structure of SmGaCuNi from Alexandria. Energies are from GGA-PBE.

Lattice parameters (Å, degrees): 7.331 4.220 5.263 90.00 117.63 90.00
Sites, in units of the cell vectors:
Sm 0.000 0.000 0.000
Sm 0.500 0.500 0.000
Ga 0.486 0.000 0.459
Ga 0.986 0.500 0.459
Cu 0.202 0.000 0.608
Cu 0.702 0.500 0.608
Ni 0.300 0.500 0.402
Ni 0.800 0.000 0.402

Calculated values
- Formation energy: -419 meV/atom
- Crystal system: monoclinic
- Relative energy among the computed polymorphs: 0 meV per atom

---

[6]
Here is an optimized crystal structure of Sm2Ga3CuNi4 from Alexandria. Energies are from GGA-PBE.

Lattice parameters (Å, degrees): 4.089 4.089 9.924 90.00 90.00 90.00
Sites, in units of the cell vectors:
Sm 0.000 0.500 0.250
Sm 0.500 0.000 0.750
Ga 0.000 0.000 0.000
Ga 0.000 0.500 0.626
Ga 0.500 0.000 0.374
Cu 0.500 0.500 0.000
Ni 0.000 0.000 0.500
Ni 0.000 0.500 0.867
Ni 0.500 0.000 0.133
Ni 0.500 0.500 0.500

Calculated values
- Formation energy: -479 meV/atom
- Crystal system: tetragonal

---

[7]
Here is an optimized crystal structure of SmGa4CuNi2 from Alexandria. Energies are from GGA-PBE.

Lattice parameters (Å, degrees): 9.030 9.030 9.030 26.42 26.42 26.42
Sites, in units of the cell vectors:
Sm 0.000 0.000 0.000
Ga 0.129 0.129 0.129
Ga 0.403 0.403 0.403
Ga 0.597 0.597 0.597
Ga 0.871 0.871 0.871
Cu 0.500 0.500 0.500
Ni 0.232 0.232 0.232
Ni 0.768 0.768 0.768

Calculated values
- Formation energy: -401 meV/atom
- Crystal system: trigonal

---

[8]
Here is an optimized crystal structure of SmGa2CuNi from Alexandria. Energies are from GGA-PBE.

Lattice parameters (Å, degrees): 4.193 4.193 9.928 90.00 90.00 90.00
Sites, in units of the cell vectors:
Sm 0.000 0.000 0.000
Sm 0.500 0.500 0.500
Ga 0.000 0.000 0.371
Ga 0.000 0.000 0.629
Ga 0.500 0.500 0.129
Ga 0.500 0.500 0.871
Cu 0.000 0.500 0.750
Cu 0.500 0.000 0.250
Ni 0.000 0.500 0.250
Ni 0.500 0.000 0.750

Calculated values
- Formation energy: -475 meV/atom
- Crystal system: tetragonal

---

[9]
Here is an optimized crystal structure of Sm3GaCu2Ni9 from Alexandria. Energies are from GGA-PBE.

Lattice parameters (Å, degrees): 6.900 6.900 6.170 90.00 90.00 120.00
Sites, in units of the cell vectors:
Sm 0.000 0.000 0.000
Sm 0.333 0.667 0.668
Sm 0.667 0.333 0.332
Ga 0.000 0.000 0.500
Cu 0.333 0.667 0.166
Cu 0.667 0.333 0.834
Ni 0.000 0.500 0.000
Ni 0.166 0.332 0.328
Ni 0.166 0.834 0.328
Ni 0.332 0.166 0.672
Ni 0.500 0.000 0.000
Ni 0.500 0.500 0.000
Ni 0.668 0.834 0.328
Ni 0.834 0.166 0.672
Ni 0.834 0.668 0.672

Calculated values
- Formation energy: 125 meV/atom
- Crystal system: trigonal

---

[10]
Here is an optimized crystal structure of SmGaCu2Ni from Alexandria. Energies are from GGA-PBE.

Lattice parameters (Å, degrees): 3.968 4.026 10.487 90.00 90.00 90.00
Sites, in units of the cell vectors:
Sm 0.000 0.000 0.000
Sm 0.500 0.500 0.500
Ga 0.000 0.500 0.756
Ga 0.500 0.000 0.256
Cu 0.000 0.000 0.616
Cu 0.000 0.500 0.257
Cu 0.500 0.000 0.757
Cu 0.500 0.500 0.116
Ni 0.000 0.000 0.389
Ni 0.500 0.500 0.889

Calculated values
- Formation energy: -317 meV/atom
- Crystal system: orthorhombic

---

[11]
Here is an optimized crystal structure of SmGaCu2Ni2 from Alexandria. Energies are from GGA-PBE.

Lattice parameters (Å, degrees): 4.365 4.365 5.503 90.00 90.00 90.00
Sites, in units of the cell vectors:
Sm 0.000 0.000 0.000
Ga 0.000 0.000 0.500
Cu 0.500 0.500 0.247
Cu 0.500 0.500 0.753
Ni 0.000 0.500 0.500
Ni 0.500 0.000 0.500

Calculated values
- Formation energy: 109 meV/atom
- Crystal system: tetragonal

---

[12]
Here is an optimized crystal structure of Sm2GaCu3Ni12 from Alexandria. Energies are from GGA-PBE.

Lattice parameters (Å, degrees): 9.294 9.294 9.294 37.30 37.30 37.30
Sites, in units of the cell vectors:
Sm 0.150 0.150 0.150
Sm 0.850 0.850 0.850
Ga 0.500 0.500 0.500
Cu 0.000 0.500 0.500
Cu 0.500 0.000 0.500
Cu 0.500 0.500 0.000
Ni 0.080 0.080 0.690
Ni 0.080 0.690 0.080
Ni 0.146 0.570 0.570
Ni 0.310 0.920 0.920
Ni 0.430 0.430 0.854
Ni 0.430 0.854 0.430
Ni 0.570 0.146 0.570
Ni 0.570 0.570 0.146
Ni 0.690 0.080 0.080
Ni 0.854 0.430 0.430
Ni 0.920 0.310 0.920
Ni 0.920 0.920 0.310

Calculated values
- Formation energy: 174 meV/atom
- Crystal system: trigonal

---

[13]
Here is an optimized crystal structure of Sm2Ga3CuNi12 from Alexandria. Energies are from GGA-PBE.

Lattice parameters (Å, degrees): 9.167 9.167 9.167 38.67 38.67 38.67
Sites, in units of the cell vectors:
Sm 0.154 0.154 0.154
Sm 0.846 0.846 0.846
Ga 0.000 0.500 0.500
Ga 0.500 0.000 0.500
Ga 0.500 0.500 0.000
Cu 0.500 0.500 0.500
Ni 0.080 0.080 0.690
Ni 0.080 0.690 0.080
Ni 0.149 0.569 0.569
Ni 0.310 0.920 0.920
Ni 0.431 0.431 0.851
Ni 0.431 0.851 0.431
Ni 0.569 0.149 0.569
Ni 0.569 0.569 0.149
Ni 0.690 0.080 0.080
Ni 0.851 0.431 0.431
Ni 0.920 0.310 0.920
Ni 0.920 0.920 0.310

Calculated values
- Formation energy: 26 meV/atom
- Crystal system: trigonal

---

[14]
Here is an optimized crystal structure of SmGa2CuNi5 from Alexandria. Energies are from GGA-PBE.

Lattice parameters (Å, degrees): 4.457 4.457 6.873 90.00 90.00 90.00
Sites, in units of the cell vectors:
Sm 0.000 0.000 0.000
Ga 0.500 0.500 0.330
Ga 0.500 0.500 0.670
Cu 0.000 0.000 0.500
Ni 0.000 0.500 0.279
Ni 0.000 0.500 0.721
Ni 0.500 0.000 0.279
Ni 0.500 0.000 0.721
Ni 0.500 0.500 0.000

Calculated values
- Formation energy: 62 meV/atom
- Crystal system: tetragonal

---

[15]
Here is an optimized crystal structure of Sm2Ga4CuNi3 from Alexandria. Energies are from GGA-PBE.

Lattice parameters (Å, degrees): 4.228 4.228 9.564 90.00 90.00 90.00
Sites, in units of the cell vectors:
Sm 0.000 0.500 0.248
Sm 0.500 0.000 0.752
Ga 0.000 0.000 0.500
Ga 0.000 0.500 0.874
Ga 0.500 0.000 0.126
Ga 0.500 0.500 0.500
Cu 0.500 0.500 0.000
Ni 0.000 0.000 0.000
Ni 0.000 0.500 0.627
Ni 0.500 0.000 0.373

Calculated values
- Formation energy: -536 meV/atom
- Crystal system: tetragonal

---

[16]
Here is an optimized crystal structure of SmGaCu2Ni4 from Alexandria. Energies are from GGA-PBE.

Lattice parameters (Å, degrees): 8.253 8.253 8.253 28.53 28.53 28.53
Sites, in units of the cell vectors:
Sm 0.000 0.000 0.000
Ga 0.500 0.500 0.500
Cu 0.242 0.242 0.242
Cu 0.758 0.758 0.758
Ni 0.129 0.129 0.129
Ni 0.403 0.403 0.403
Ni 0.597 0.597 0.597
Ni 0.871 0.871 0.871

Calculated values
- Formation energy: -184 meV/atom
- Crystal system: trigonal

---

[17]
Here is an optimized crystal structure of SmGaCuNi from Alexandria. Energies are from GGA-PBE.

Lattice parameters (Å, degrees): 6.478 6.478 6.478 90.00 90.00 90.00
Sites, in units of the cell vectors:
Sm 0.000 0.000 0.000
Sm 0.000 0.500 0.500
Sm 0.500 0.000 0.500
Sm 0.500 0.500 0.000
Ga 0.000 0.000 0.500
Ga 0.000 0.500 0.000
Ga 0.500 0.000 0.000
Ga 0.500 0.500 0.500
Cu 0.250 0.250 0.750
Cu 0.250 0.750 0.250
Cu 0.750 0.250 0.250
Cu 0.750 0.750 0.750
Ni 0.250 0.250 0.250
Ni 0.250 0.750 0.750
Ni 0.750 0.250 0.750
Ni 0.750 0.750 0.250

Calculated values
- Formation energy: -286 meV/atom
- Crystal system: cubic
- Relative energy among the computed polymorphs: 132 meV per atom

---

[18]
Here is an optimized crystal structure of GaCuNiSn2 from Alexandria. Energies are from GGA-PBE.

Lattice parameters (Å, degrees): 4.941 4.941 4.521 90.00 90.00 90.00
Sites, in units of the cell vectors:
Ga 0.000 0.000 0.000
Cu 0.500 0.500 0.000
Ni 0.000 0.000 0.500
Sn 0.000 0.500 0.500
Sn 0.500 0.000 0.500

Calculated values
- Formation energy: 241 meV/atom
- Crystal system: tetragonal

---

[19]
Here is an optimized crystal structure of Sr2GaCu6Ni from Alexandria. Energies are from GGA-PBE.

Lattice parameters (Å, degrees): 6.306 6.306 6.543 118.08 118.08 60.51
Sites, in units of the cell vectors:
Sr 0.210 0.210 0.131
Sr 0.790 0.790 0.869
Ga 0.000 0.000 0.500
Cu 0.253 0.253 0.648
Cu 0.253 0.641 0.645
Cu 0.359 0.747 0.355
Cu 0.641 0.253 0.645
Cu 0.747 0.359 0.355
Cu 0.747 0.747 0.352
Ni 0.500 0.500 0.000

Calculated values
- Formation energy: -64 meV/atom
- Crystal system: monoclinic

---

[20]
Here is an optimized crystal structure of SrGaCuNi from Alexandria. Energies are from GGA-PBE.

Lattice parameters (Å, degrees): 7.357 4.223 5.824 90.00 114.83 90.00
Sites, in units of the cell vectors:
Sr 0.000 0.000 0.000
Sr 0.500 0.500 0.000
Ga 0.491 0.000 0.476
Ga 0.991 0.500 0.476
Cu 0.188 0.000 0.567
Cu 0.688 0.500 0.567
Ni 0.311 0.500 0.436
Ni 0.811 0.000 0.436

Calculated values
- Formation energy: -311 meV/atom
- Crystal system: monoclinic

---

[21]
Here is an optimized crystal structure of SrGa2CuNi from Alexandria. Energies are from GGA-PBE.

Lattice parameters (Å, degrees): 4.569 4.569 4.835 90.00 90.00 90.00
Sites, in units of the cell vectors:
Sr 0.000 0.000 0.000
Ga 0.000 0.500 0.500
Ga 0.500 0.000 0.500
Cu 0.500 0.500 0.000
Ni 0.500 0.500 0.500

Calculated values
- Formation energy: -217 meV/atom
- Crystal system: tetragonal

---

[22]
Here is an optimized crystal structure of SrGa4Cu2Ni from Alexandria. Energies are from GGA-PBE.

Lattice parameters (Å, degrees): 9.698 9.698 9.698 24.84 24.84 24.84
Sites, in units of the cell vectors:
Sr 0.000 0.000 0.000
Ga 0.133 0.133 0.133
Ga 0.409 0.409 0.409
Ga 0.591 0.591 0.591
Ga 0.867 0.867 0.867
Cu 0.228 0.228 0.228
Cu 0.772 0.772 0.772
Ni 0.500 0.500 0.500

Calculated values
- Formation energy: -286 meV/atom
- Crystal system: trigonal

---

[23]
Here is an optimized crystal structure of Sr2GaCuNi from Alexandria. Energies are from GGA-PBE.

Lattice parameters (Å, degrees): 5.964 5.964 4.442 90.00 90.00 90.00
Sites, in units of the cell vectors:
Sr 0.000 0.500 0.000
Sr 0.500 0.000 0.000
Ga 0.000 0.000 0.000
Cu 0.000 0.000 0.500
Ni 0.500 0.500 0.500

Calculated values
- Formation energy: 394 meV/atom
- Crystal system: tetragonal

---

[24]
Here is an optimized crystal structure of TaGaCuNi from Alexandria. Energies are from GGA-PBE.

Lattice parameters (Å, degrees): 6.039 6.039 6.039 90.00 90.00 90.00
Sites, in units of the cell vectors:
Ta 0.000 0.000 0.000
Ta 0.000 0.500 0.500
Ta 0.500 0.000 0.500
Ta 0.500 0.500 0.000
Ga 0.000 0.000 0.500
Ga 0.000 0.500 0.000
Ga 0.500 0.000 0.000
Ga 0.500 0.500 0.500
Cu 0.250 0.250 0.750
Cu 0.250 0.750 0.250
Cu 0.750 0.250 0.250
Cu 0.750 0.750 0.750
Ni 0.250 0.250 0.250
Ni 0.250 0.750 0.750
Ni 0.750 0.250 0.750
Ni 0.750 0.750 0.250

Calculated values
- Formation energy: -153 meV/atom
- Crystal system: cubic

---

Number 1: raw total energy -0.319 Ry per atom, volume 15.183 Å³/atom. Number 2: raw total energy -0.380 Ry per atom, volume 12.601 Å³/atom. Number 3: raw total energy -0.368 Ry per atom, volume 16.252 Å³/atom. Number 4: raw total energy -0.308 Ry per atom, volume 16.373 Å³/atom. Number 5: raw total energy -0.355 Ry per atom, volume 18.033 Å³/atom. Number 6: raw total energy -0.371 Ry per atom, volume 16.597 Å³/atom. Number 7: raw total energy -0.328 Ry per atom, volume 16.062 Å³/atom. Number 8: raw total energy -0.338 Ry per atom, volume 17.453 Å³/atom. Number 9: raw total energy -0.370 Ry per atom, volume 16.960 Å³/atom. Number 10: raw total energy -0.343 Ry per atom, volume 16.754 Å³/atom. Number 11: raw total energy -0.329 Ry per atom, volume 17.476 Å³/atom. Number 12: raw total energy -0.372 Ry per atom, volume 14.684 Å³/atom. Number 13: raw total energy -0.374 Ry per atom, volume 15.018 Å³/atom. Number 14: raw total energy -0.353 Ry per atom, volume 15.171 Å³/atom. Number 15: raw total energy -0.355 Ry per atom, volume 17.097 Å³/atom. Number 16: raw total energy -0.372 Ry per atom, volume 14.169 Å³/atom. Number 17: raw total energy -0.345 Ry per atom, volume 16.990 Å³/atom. Number 18: raw total energy -0.290 Ry per atom, volume 22.076 Å³/atom. Number 19: raw total energy -0.275 Ry per atom, volume 18.990 Å³/atom. Number 20: raw total energy -0.291 Ry per atom, volume 20.527 Å³/atom. Number 21: raw total energy -0.275 Ry per atom, volume 20.184 Å³/atom. Number 22: raw total energy -0.276 Ry per atom, volume 17.697 Å³/atom. Number 23: raw total energy -0.210 Ry per atom, volume 31.602 Å³/atom. Number 24: raw total energy -0.466 Ry per atom, volume 13.763 Å³/atom.